Density functional theory data (PBE) for a relaxed structure of NaCdAs.

Computed properties:
Crystal system: hexagonal
E: -2.615 eV per atom
SG: No. 194

Unit cell a=4.5456 b=4.5484 c=8.4668 alpha=90.00 beta=90.00 gamma=119.98
Last column: nearest neighbours and their distance in Å.
Positions (direct):
Na (0.0000, 0.0000, 0.5000)  6 As 3.37-3.38, 6 Cd 3.37
As (0.3339, 0.6678, 0.2500)  3 Cd 2.63
As (0.6661, 0.3322, 0.7500)  3 Cd 2.63
Cd (0.6671, 0.3342, 0.2500)  3 As 2.63
Cd (0.3329, 0.6658, 0.7500)  3 As 2.63
Na (0.0000, 0.0000, 0.0000)  6 As 3.37-3.38, 6 Cd 3.37